A plane-wave DFT calculation with PBE-GGA was carried out for KBeO2F after structural relaxation.

Lattice parameters (Å, degrees): 4.5704 4.5704 4.6012 90.00 90.00 90.00
Last column: nearest neighbours and their distance in Å.
Fractional positions:
K 0.0000 0.0000 0.0000  4 O 2.29, 2 F 2.30
Be 0.5000 0.5000 0.5000  4 F 3.23, 8 O 3.24
O 0.0000 0.5000 0.0000  2 K 2.29
O 0.5000 0.0000 0.0000  2 K 2.29
F 0.0000 0.0000 0.5000  2 K 2.30

Values from the calculation:
- Formation energy from raw total energies: 3.37 eV/f.u.
- Symmetry: P4/mmm (123)


A plane-wave DFT calculation with PBE-GGA was carried out for NaMnZnS3 after structural relaxation.

Lattice parameters (Å, degrees): 6.9425 3.5513 10.5110 90.00 105.60 90.00
Last column: nearest neighbours and their distance in Å.
Fractional positions:
Na 0.1786 0.2500 0.1820  5 S 2.93-3.01
Na 0.8214 0.7500 0.8180  5 S 2.93-3.01
Mn 0.1668 0.7500 0.6212  5 S 2.38-2.51
Mn 0.8332 0.2500 0.3788  5 S 2.38-2.51
Zn 0.3914 0.2500 0.8909  4 S 2.32-2.49
Zn 0.6086 0.7500 0.1091  4 S 2.32-2.49
S 0.0636 0.7500 0.3733  3 Mn 2.40-2.51
S 0.2514 0.7500 0.9781  3 Zn 2.33-2.49
S 0.4036 0.2500 0.6727  1 Zn 2.32, 2 Mn 2.38
S 0.5964 0.7500 0.3273  1 Zn 2.32, 2 Mn 2.38
S 0.7486 0.2500 0.0219  3 Zn 2.33-2.49
S 0.9364 0.2500 0.6267  3 Mn 2.40-2.51

Values from the calculation:
- Formation energy from raw total energies: -4.49 eV/f.u.
- Symmetry: P2_1/m (11)


A plane-wave DFT calculation with PBE-GGA was carried out for ZnPtCl2 after structural relaxation.

Lattice parameters (Å, degrees): 6.6851 6.6851 6.6851 148.91 148.91 44.54
Last column: nearest neighbours and their distance in Å.
Fractional positions:
Zn 0.0000 0.0000 0.0000  4 Cl 2.53
Pt 0.7500 0.2500 0.5000  4 Cl 2.53
Cl 0.2500 0.7500 0.5000  4 Pt 2.53
Cl 0.5000 0.5000 0.0000  4 Zn 2.53

Values from the calculation:
- Formation energy from raw total energies: 0.42 eV/f.u.
- Symmetry: I-4m2 (119)


A plane-wave DFT calculation with PBE-GGA was carried out for Ac4SiAu3 after structural relaxation.

Lattice parameters (Å, degrees): 4.3455 4.7875 11.7755 90.00 90.00 90.00
Last column: nearest neighbours and their distance in Å.
Fractional positions:
Ac 0.0000 0.0000 0.0000  5 Au 3.28-3.32, 2 Si 3.32
Ac 0.0000 0.5000 0.2660  4 Si 3.29, 3 Au 3.31-3.37
Ac 0.5000 0.0000 0.4857  1 Si 3.21, 6 Au 3.31-3.49
Ac 0.5000 0.5000 0.7654  7 Au 3.28-3.37
Si 0.5000 0.0000 0.2131  2 Au 3.09, 7 Ac 3.21-3.32
Au 0.0000 0.0000 0.7179  2 Au 3.13, 7 Ac 3.28-3.49
Au 0.0000 0.5000 0.5470  2 Au 3.13, 7 Ac 3.31-3.37
Au 0.5000 0.5000 0.0474  2 Si 3.09, 7 Ac 3.28-3.37

Values from the calculation:
- Formation energy from raw total energies: -5.82 eV/f.u.
- Symmetry: Pmm2 (25)


A plane-wave DFT calculation with PBE-GGA was carried out for AcAgSb after structural relaxation.

Lattice parameters (Å, degrees): 5.0868 5.0868 5.0868 60.00 60.00 60.00
Last column: nearest neighbours and their distance in Å.
Fractional positions:
Ac 0.0000 0.0000 0.0000  4 Ag 3.12
Ag 0.7500 0.7500 0.7500  4 Ac 3.12, 4 Sb 3.12
Sb 0.5000 0.5000 0.5000  4 Ag 3.12

Values from the calculation:
- Formation energy from raw total energies: -1.67 eV/f.u.
- Symmetry: F-43m (216)


A plane-wave DFT calculation with PBE-GGA was carried out for K2LiPmBr6 after structural relaxation.

Lattice parameters (Å, degrees): 7.6457 7.9857 13.2104 90.00 124.67 90.00
Last column: nearest neighbours and their distance in Å.
Fractional positions:
K 0.2243 0.0715 0.2469  6 Br 3.35-3.56
K 0.2243 0.4285 0.7469  6 Br 3.35-3.56
K 0.7757 0.5715 0.2531  6 Br 3.35-3.56
K 0.7757 0.9285 0.7531  6 Br 3.35-3.56
Li 0.0000 0.0000 0.5000  6 Br 2.76-2.86
Li 0.0000 0.5000 0.0000  6 Br 2.76-2.86
Pm 0.5000 0.0000 0.0000  6 Br 2.88-2.89
Pm 0.5000 0.5000 0.5000  6 Br 2.88-2.89
Br 0.1474 0.2027 0.9508  1 Li 2.86, 1 Pm 2.88
Br 0.1474 0.2973 0.4508  1 Li 2.86, 1 Pm 2.88
Br 0.2526 0.7006 0.9524  1 Li 2.84, 1 Pm 2.89
Br 0.2526 0.7994 0.4524  1 Li 2.84, 1 Pm 2.89
Br 0.3397 0.0219 0.7436  1 Li 2.76, 1 Pm 2.88
Br 0.3397 0.4781 0.2436  1 Li 2.76, 1 Pm 2.88
Br 0.6603 0.5219 0.7564  1 Li 2.76, 1 Pm 2.88
Br 0.6603 0.9781 0.2564  1 Li 2.76, 1 Pm 2.88
Br 0.7474 0.2006 0.5476  1 Li 2.84, 1 Pm 2.89
Br 0.7474 0.2994 0.0476  1 Li 2.84, 1 Pm 2.89
Br 0.8526 0.7027 0.5492  1 Li 2.86, 1 Pm 2.88
Br 0.8526 0.7973 0.0492  1 Li 2.86, 1 Pm 2.88

Values from the calculation:
- Formation energy from raw total energies: -17.67 eV/f.u.
- Symmetry: P2_1/c (14)


A plane-wave DFT calculation with PBE-GGA was carried out for ZnRu3Rh after structural relaxation.

Lattice parameters (Å, degrees): 4.6663 4.6663 4.6663 90.00 90.00 90.00
Last column: nearest neighbours and their distance in Å.
Fractional positions:
Zn 0.0000 0.0000 0.0000  12 Ru 3.30
Ru 0.0000 0.5000 0.5000  2 Rh 2.33
Ru 0.5000 0.0000 0.5000  2 Rh 2.33
Ru 0.5000 0.5000 0.0000  2 Rh 2.33
Rh 0.5000 0.5000 0.5000  6 Ru 2.33

Values from the calculation:
- Symmetry: Pm-3m (221)
- Formation enthalpy at 0 K: 1.809 eV/atom


A plane-wave DFT calculation with PBE-GGA was carried out for ReH2Au after structural relaxation.

Lattice parameters (Å, degrees): 4.6843 4.6843 4.6843 111.00 111.00 106.46
Last column: nearest neighbours and their distance in Å.
Fractional positions:
Re 0.0000 0.0000 0.0000  4 H 1.77
Re 0.7500 0.2500 0.5000  4 H 1.77
H 0.0517 0.6250 0.9267  2 Re 1.77
H 0.3750 0.3017 0.4267  2 Re 1.77
H 0.6983 0.1250 0.0733  2 Re 1.77
H 0.8750 0.9483 0.5733  2 Re 1.77
Au 0.2500 0.7500 0.5000  4 H 2.28
Au 0.5000 0.5000 0.0000  4 H 2.28

Values from the calculation:
- Symmetry: I-42d (122)


A plane-wave DFT calculation with PBE-GGA was carried out for ThCo12Si4 after structural relaxation.

Lattice parameters (Å, degrees): 6.7303 6.7303 6.7303 109.47 109.47 109.47
Last column: nearest neighbours and their distance in Å.
Fractional positions:
Th 0.0000 0.0000 0.0000  12 Co 3.00
Co 0.1500 0.3552 0.5052  2 Si 2.25, 2 Co 2.25-2.33
Co 0.1500 0.6448 0.7948  2 Si 2.25, 2 Co 2.25-2.33
Co 0.2052 0.8500 0.3552  2 Si 2.25, 2 Co 2.25-2.33
Co 0.3552 0.2052 0.8500  2 Si 2.25, 2 Co 2.25-2.33
Co 0.3552 0.5052 0.1500  2 Si 2.25, 2 Co 2.25-2.33
Co 0.4948 0.8500 0.6448  2 Si 2.25, 2 Co 2.25-2.33
Co 0.5052 0.1500 0.3552  2 Si 2.25, 2 Co 2.25-2.33
Co 0.6448 0.4948 0.8500  2 Si 2.25, 2 Co 2.25-2.33
Co 0.6448 0.7948 0.1500  2 Si 2.25, 2 Co 2.25-2.33
Co 0.7948 0.1500 0.6448  2 Si 2.25, 2 Co 2.25-2.33
Co 0.8500 0.3552 0.2052  2 Si 2.25, 2 Co 2.25-2.33
Co 0.8500 0.6448 0.4948  2 Si 2.25, 2 Co 2.25-2.33
Si 0.0000 0.0000 0.5000  6 Co 2.25
Si 0.0000 0.5000 0.0000  6 Co 2.25
Si 0.5000 0.0000 0.0000  6 Co 2.25
Si 0.5000 0.5000 0.5000  6 Co 2.25

Values from the calculation:
- Formation energy from raw total energies: 3.68 eV/f.u.
- Symmetry: Im-3 (204)


A plane-wave DFT calculation with PBE-GGA was carried out for Ca11Sn3C8 after structural relaxation.

Lattice parameters (Å, degrees): 13.2476 10.7273 14.2573 90.00 105.63 90.00
Last column: nearest neighbours and their distance in Å.
Fractional positions:
Ca 0.0082 0.2448 0.2692  3 C 2.48-2.72
Ca 0.0082 0.2552 0.7692  3 C 2.48-2.72
Ca 0.1085 0.5043 0.4048  3 C 2.60-2.88
Ca 0.1085 0.9957 0.9048  3 C 2.60-2.88
Ca 0.1101 0.0081 0.6487  2 C 2.59-2.65
Ca 0.1101 0.4919 0.1487  2 C 2.59-2.65
Ca 0.1922 0.6563 0.9271  3 C 2.48-2.75
Ca 0.1922 0.8437 0.4271  3 C 2.48-2.75
Ca 0.2064 0.1659 0.1712  3 C 2.48-2.72
Ca 0.2064 0.3341 0.6712  3 C 2.48-2.72
Ca 0.2309 0.6956 0.6568  2 C 2.45-2.72
Ca 0.2309 0.8044 0.1568  2 C 2.45-2.72
Ca 0.2393 0.1980 0.4588  3 C 2.44-2.74
Ca 0.2393 0.3020 0.9588  3 C 2.44-2.74
Ca 0.3575 0.5050 0.3366  2 C 2.46-2.50
Ca 0.3575 0.9950 0.8366  2 C 2.46-2.50
Ca 0.3926 0.0051 0.3531  2 C 2.55
Ca 0.3926 0.4949 0.8531  2 C 2.55
Ca 0.4733 0.7321 0.5132  2 C 2.52-2.56
Ca 0.4733 0.7679 0.0132  2 C 2.52-2.56
Ca 0.4854 0.2443 0.7287  2 C 2.52-2.56
Ca 0.4854 0.2557 0.2287  2 C 2.52-2.56
Ca 0.5146 0.7443 0.7713  2 C 2.52-2.56
Ca 0.5146 0.7557 0.2713  2 C 2.52-2.56
Ca 0.5267 0.2321 0.9868  2 C 2.52-2.56
Ca 0.5267 0.2679 0.4868  2 C 2.52-2.56
Ca 0.6074 0.5051 0.1469  2 C 2.55
Ca 0.6074 0.9949 0.6469  2 C 2.55
Ca 0.6425 0.0050 0.1634  2 C 2.46-2.50
Ca 0.6425 0.4950 0.6634  2 C 2.46-2.50
Ca 0.7607 0.6980 0.0412  3 C 2.44-2.74
Ca 0.7607 0.8020 0.5412  3 C 2.44-2.74
Ca 0.7691 0.1956 0.8432  2 C 2.45-2.72
Ca 0.7691 0.3044 0.3432  2 C 2.45-2.72
Ca 0.7936 0.6659 0.3288  3 C 2.48-2.72
Ca 0.7936 0.8341 0.8288  3 C 2.48-2.72
Ca 0.8078 0.1563 0.5729  3 C 2.48-2.75
Ca 0.8078 0.3437 0.0729  3 C 2.48-2.75
Ca 0.8899 0.5081 0.8513  2 C 2.59-2.65
Ca 0.8899 0.9919 0.3513  2 C 2.59-2.65
Ca 0.8915 0.0043 0.0952  3 C 2.60-2.88
Ca 0.8915 0.4957 0.5952  3 C 2.60-2.88
Ca 0.9918 0.7448 0.2308  3 C 2.48-2.72
Ca 0.9918 0.7552 0.7308  3 C 2.48-2.72
Sn 0.0034 0.2484 0.0008  9 Ca 3.20-3.58
Sn 0.0034 0.2516 0.5008  9 Ca 3.20-3.58
Sn 0.3558 0.5197 0.1001  6 Ca 3.17-3.52
Sn 0.3558 0.9803 0.6001  6 Ca 3.17-3.52
Sn 0.3679 0.0176 0.0861  6 Ca 3.16-3.53
Sn 0.3679 0.4824 0.5861  6 Ca 3.16-3.53
Sn 0.6321 0.5176 0.4139  6 Ca 3.16-3.53
Sn 0.6321 0.9824 0.9139  6 Ca 3.16-3.53
Sn 0.6442 0.0197 0.3999  6 Ca 3.17-3.52
Sn 0.6442 0.4803 0.8999  6 Ca 3.17-3.52
Sn 0.9966 0.7484 0.4992  9 Ca 3.20-3.58
Sn 0.9966 0.7516 0.9992  9 Ca 3.20-3.58
C 0.0682 0.5189 0.7637  1 C 1.27
C 0.0682 0.9811 0.2637  1 C 1.27
C 0.1590 0.0263 0.3007  1 C 1.27
C 0.1590 0.4737 0.8007  1 C 1.27
C 0.1712 0.6577 0.2904  1 C 1.33
C 0.1712 0.8423 0.7904  1 C 1.33
C 0.1818 0.1536 0.7971  1 C 1.33
C 0.1818 0.3464 0.2971  1 C 1.33
C 0.2650 0.7106 0.3191  2 C 1.33
C 0.2650 0.7894 0.8191  2 C 1.33
C 0.2767 0.2035 0.8174  2 C 1.32-1.33
C 0.2767 0.2965 0.3174  2 C 1.32-1.33
C 0.3558 0.7287 0.8409  1 C 1.33
C 0.3558 0.7713 0.3409  1 C 1.33
C 0.3692 0.2407 0.3421  1 C 1.32
C 0.3692 0.2593 0.8421  1 C 1.32
C 0.6308 0.7407 0.1579  1 C 1.32
C 0.6308 0.7593 0.6579  1 C 1.32
C 0.6442 0.2287 0.6591  1 C 1.33
C 0.6442 0.2713 0.1591  1 C 1.33
C 0.7233 0.7035 0.6826  2 C 1.32-1.33
C 0.7233 0.7965 0.1826  2 C 1.32-1.33
C 0.7350 0.2106 0.1809  2 C 1.33
C 0.7350 0.2894 0.6809  2 C 1.33
C 0.8182 0.6536 0.7029  1 C 1.33
C 0.8182 0.8464 0.2029  1 C 1.33
C 0.8288 0.1577 0.2096  1 C 1.33
C 0.8288 0.3423 0.7096  1 C 1.33
C 0.8410 0.5263 0.1993  1 C 1.27
C 0.8410 0.9737 0.6993  1 C 1.27
C 0.9318 0.0189 0.7363  1 C 1.27
C 0.9318 0.4811 0.2363  1 C 1.27

Values from the calculation:
- Symmetry: P2_1/c (14)
- Formation enthalpy at 0 K: -0.353 eV/atom


A plane-wave DFT calculation with PBE-GGA was carried out for KSrHg2 after structural relaxation.

Lattice parameters (Å, degrees): 4.5801 4.5801 9.2574 102.99 102.99 57.37
Last column: nearest neighbours and their distance in Å.
Fractional positions:
K 0.0000 0.0000 0.0000  6 Hg 3.53-3.54
Sr 0.5000 0.5000 0.5000  6 Hg 3.34
Hg 0.2442 0.2442 0.7330  3 Sr 3.34, 3 K 3.53-3.54
Hg 0.7558 0.7558 0.2670  3 Sr 3.34, 3 K 3.53-3.54

Values from the calculation:
- Symmetry: C2/m (12)
- Formation enthalpy at 0 K: -0.262 eV/atom


A plane-wave DFT calculation with PBE-GGA was carried out for NbGa2Au2 after structural relaxation.

Lattice parameters (Å, degrees): 7.4637 7.4637 3.1032 90.00 90.00 90.00
Last column: nearest neighbours and their distance in Å.
Fractional positions:
Nb 0.0000 0.0000 0.0000  4 Ga 2.88, 2 Nb 3.10, 8 Au 3.21
Nb 0.5000 0.5000 0.0000  4 Ga 2.88, 2 Nb 3.10, 8 Au 3.21
Ga 0.1418 0.3582 0.0000  6 Au 2.62-2.73, 2 Nb 2.88
Ga 0.3582 0.8582 0.0000  6 Au 2.62-2.73, 2 Nb 2.88
Ga 0.6418 0.1418 0.0000  6 Au 2.62-2.73, 2 Nb 2.88
Ga 0.8582 0.6418 0.0000  6 Au 2.62-2.73, 2 Nb 2.88
Au 0.1587 0.6587 0.5000  6 Ga 2.62-2.73
Au 0.3413 0.1587 0.5000  6 Ga 2.62-2.73
Au 0.6587 0.8413 0.5000  6 Ga 2.62-2.73
Au 0.8413 0.3413 0.5000  6 Ga 2.62-2.73

Values from the calculation:
- Symmetry: P4/mbm (127)
- Formation enthalpy at 0 K: -0.061 eV/atom


no.,electronic total energy (eV/cell),calculated volume (A^3/atom)
1,-13.24,19.222
2,-57.27,20.800
3,-10.59,19.858
4,-37.51,30.623
5,-12.75,31.024
6,-73.13,33.169
7,-27.41,20.321
8,-41.04,9.870
9,-110.70,13.805
10,-462.30,22.173
11,-4.43,39.520
12,-45.97,17.287